[1]
# PBE-GGA TaOsPb2, optimized geometry
# ρ   15.6 Mg/m³
# Magnetization   0.0 Bohr magnetons per cell
# ΔH_f (0 K)   0.8692 eV/atom
data_TaOsPb2
_chemical_formula_sum 'Ta4 Os4 Pb8'
_symmetry_space_group_name_H-M 'F -4 3 m'
_symmetry_Int_Tables_number 216
_symmetry_space_group_name_Hall 'F -4 2 3'
_cell_length_a 6.936
_cell_length_b 6.936
_cell_length_c 6.936
_cell_angle_alpha 90.00
_cell_angle_beta 90.00
_cell_angle_gamma 90.00
loop_
_atom_site_label
_atom_site_fract_x
_atom_site_fract_y
_atom_site_fract_z
Ta1 0.000 0.000 0.000
Os1 0.250 0.250 0.750
Pb1 0.000 0.000 0.500
Pb2 0.250 0.250 0.250



[2]
# PBE-GGA TaOsPb2, optimized geometry
# ρ   15.5 Mg/m³
# Magnetization   0.0 Bohr magnetons per cell
# ΔH_f (0 K)   1.0827 eV/atom
data_TaOsPb2
_chemical_formula_sum 'Ta2 Os2 Pb4'
_symmetry_space_group_name_H-M 'I 4/m m m'
_symmetry_Int_Tables_number 139
_symmetry_space_group_name_Hall '-I 4 2'
_cell_length_a 4.256
_cell_length_b 4.256
_cell_length_c 9.281
_cell_angle_alpha 90.00
_cell_angle_beta 90.00
_cell_angle_gamma 90.00
loop_
_atom_site_label
_atom_site_fract_x
_atom_site_fract_y
_atom_site_fract_z
Ta1 0.000 0.000 0.000
Os1 0.000 0.000 0.500
Pb1 0.000 0.500 0.250



[3]
# PBE-GGA TaOsPb2, optimized geometry
# ρ   15.9 Mg/m³
# Magnetization   0.0 Bohr magnetons per cell
# ΔH_f (0 K)   0.8807 eV/atom
data_TaOsPb2
_chemical_formula_sum 'Ta2 Os2 Pb4'
_symmetry_space_group_name_H-M 'C 1 2/m 1'
_symmetry_Int_Tables_number 12
_cell_length_a 10.002
_cell_length_b 3.169
_cell_length_c 5.426
_cell_angle_alpha 90.00
_cell_angle_beta 106.96
_cell_angle_gamma 90.00
loop_
_symmetry_equiv_pos_as_xyz
'x,y,z'
'-x,-y,-z'
'-x,y,-z'
'x,-y,z'
'x+1/2,y+1/2,z'
'-x+1/2,-y+1/2,-z'
'-x+1/2,y+1/2,-z'
'x+1/2,-y+1/2,z'
loop_
_atom_site_label
_atom_site_fract_x
_atom_site_fract_y
_atom_site_fract_z
Ta1 0.000 0.000 0.000
Os1 0.000 0.500 0.500
Pb1 0.238 0.000 0.742



[4]
# PBE-GGA TaOs2Pb, optimized geometry
# ρ   17.1 Mg/m³
# Magnetization   0.0 Bohr magnetons per cell
# ΔH_f (0 K)   0.5720 eV/atom
data_TaOs2Pb
_chemical_formula_sum 'Ta2 Os4 Pb2'
_symmetry_space_group_name_H-M 'C m m m'
_symmetry_Int_Tables_number 65
_symmetry_space_group_name_Hall '-C 2 2'
_cell_length_a 3.240
_cell_length_b 4.910
_cell_length_c 9.371
_cell_angle_alpha 90.00
_cell_angle_beta 90.00
_cell_angle_gamma 90.00
loop_
_atom_site_label
_atom_site_fract_x
_atom_site_fract_y
_atom_site_fract_z
Ta1 0.000 0.000 0.000
Os1 0.000 0.500 0.216
Pb1 0.000 0.000 0.500



[5]
# PBE-GGA TaOs2Pb, optimized geometry
# ρ   17.2 Mg/m³
# Magnetization   0.0 Bohr magnetons per cell
# ΔH_f (0 K)   0.4324 eV/atom
data_TaOs2Pb
_chemical_formula_sum 'Ta3 Os6 Pb3'
_symmetry_space_group_name_H-M 'R -3 m'
_symmetry_Int_Tables_number 166
_symmetry_space_group_name_Hall '-R 3 2"'
_cell_length_a 3.0639
_cell_length_b 3.0639
_cell_length_c 27.4092
_cell_angle_alpha 90.00
_cell_angle_beta 90.00
_cell_angle_gamma 120.00
loop_
_atom_site_label
_atom_site_fract_x
_atom_site_fract_y
_atom_site_fract_z
Ta1 0.0000 0.0000 0.0000
Os1 0.0000 0.0000 0.2611
Pb1 0.0000 0.0000 0.5000



[6]
# PBE-GGA TaOs2Pb, optimized geometry
# ρ   18.4 Mg/m³
# Magnetization   0.0 Bohr magnetons per cell
# ΔH_f (0 K)   0.5313 eV/atom
data_TaOs2Pb
_chemical_formula_sum 'Ta1 Os2 Pb1'
_symmetry_space_group_name_H-M 'P 4/m m m'
_symmetry_Int_Tables_number 123
_symmetry_space_group_name_Hall '-P 4 2'
_cell_length_a 4.419
_cell_length_b 4.419
_cell_length_c 3.549
_cell_angle_alpha 90.00
_cell_angle_beta 90.00
_cell_angle_gamma 90.00
loop_
_atom_site_label
_atom_site_fract_x
_atom_site_fract_y
_atom_site_fract_z
Ta1 0.000 0.000 0.000
Os1 0.000 0.500 0.500
Pb1 0.500 0.500 0.000



Number 1: calculated volume 333.7 Å³ per cell. Number 2: calculated volume 168.1 Å³ per cell. Number 3: calculated volume 164.5 Å³ per cell. Number 4: calculated volume 149.1 Å³ per cell. Number 5: calculated volume 222.8 Å³ per cell. Number 6: calculated volume 69.3 Å³ per cell.